# 1
Dy2AgSb3: optimized geometry, GGA-PBE.

Values from the calculation:
Its density of states at the Fermi level is 1.53 states/eV/atom. As for the volume: 1115.09 Å³/cell. As for the magnetization: 2.108 μB per cell. As for the uncorrected energy: -2.85 eV per atom.

Lattice parameters (Å, degrees): 8.207 8.207 16.557 90.00 90.00 90.00
Space group P4/mmm (No. 123)
Symmetry-distinct sites (fractional):
Dy 0.000 0.000 0.173 x2
Ag 0.000 0.000 0.500 x1
Sb 0.000 0.000 0.000 x1
Sb 0.000 0.000 0.342 x2

=====

# 2
DyAgSb2: optimized geometry, GGA-PBE.

Values from the calculation:
Its density of states at the Fermi level is 0.68 states/eV/atom. As for the volume: 323.19 Å³/cell. As for the magnetization: 0.000 μB per cell. As for the uncorrected energy: -4.20 eV per atom.

Lattice parameters (Å, degrees): 4.5834 4.5834 17.7644 90.00 90.00 120.00
Space group R-3m (No. 166, hexagonal axes)
Symmetry-distinct sites (fractional):
Dy 0.0000 0.0000 0.0000 x3
Ag 0.0000 0.0000 0.5000 x3
Sb 0.0000 0.0000 0.2440 x6

=====

# 3
Dy5AgSb4: optimized geometry, GGA-PBE.

Values from the calculation:
Its density of states at the Fermi level is 0.59 states/eV/atom. As for the volume: 587.46 Å³/cell. As for the magnetization: 0.002 μB per cell. As for the uncorrected energy: -5.11 eV per atom.

Lattice parameters (Å, degrees): 9.764 9.764 6.162 90.00 90.00 90.00
Space group I4 (No. 79)
Symmetry-distinct sites (fractional):
Dy 0.000 0.000 0.000 x2
Dy 0.104 0.693 0.498 x8
Ag 0.000 0.000 0.500 x2
Sb 0.101 0.702 0.998 x8

=====

# 4
Dy5Ag2Sb: optimized geometry, GGA-PBE.

Values from the calculation:
Its density of states at the Fermi level is 0.89 states/eV/atom. As for the volume: 859.51 Å³/cell. As for the magnetization: 0.000 μB per cell. As for the uncorrected energy: -4.54 eV per atom.

Lattice parameters (Å, degrees): 8.094 8.094 13.119 90.00 90.00 90.00
Space group I4/mcm (No. 140)
Symmetry-distinct sites (fractional):
Dy 0.000 0.000 0.000 x4
Dy 0.155 0.345 0.148 x16
Ag 0.134 0.366 0.500 x8
Sb 0.000 0.000 0.250 x4

=====

# 5
DyAg2Sb: optimized geometry, GGA-PBE.

Values from the calculation:
Its density of states at the Fermi level is 0.53 states/eV/atom. As for the volume: 292.84 Å³/cell. As for the magnetization: 0.000 μB per cell. As for the uncorrected energy: -3.34 eV per atom.

Lattice parameters (Å, degrees): 3.2249 3.2249 32.5131 90.00 90.00 120.00
Space group R-3m (No. 166, hexagonal axes)
Symmetry-distinct sites (fractional):
Dy 0.0000 0.0000 0.0000 x3
Ag 0.0000 0.0000 0.0901 x6
Sb 0.0000 0.0000 0.5000 x3

=====

# 6
Dy2Ag3SbSe6: optimized geometry, GGA-PBE.

Values from the calculation:
As for the volume: 584.52 Å³/cell. As for the magnetization: 0.000 μB per cell. As for the uncorrected energy: -4.40 eV per atom.

Lattice parameters (Å, degrees): 17.643 4.162 8.093 90.00 100.41 90.00
Space group C2/m (No. 12)
Symmetry-distinct sites (fractional):
Dy 0.168 0.000 0.324 x4
Ag 0.000 0.500 0.500 x2
Ag 0.171 0.000 0.816 x4
Sb 0.000 0.500 0.000 x2
Se 0.000 0.000 0.251 x4
Se 0.166 0.500 0.077 x4
Se 0.167 0.500 0.572 x4

=====

# 7
DyAg2SbSe4: optimized geometry, GGA-PBE.

Values from the calculation:
Its density of states at the Fermi level is 0.03 states/eV/atom. As for the volume: 194.88 Å³/cell. As for the magnetization: 0.000 μB per cell. As for the uncorrected energy: -4.21 eV per atom.

Lattice parameters (Å, degrees): 6.932 4.156 7.216 90.00 110.40 90.00
Space group P2/m (No. 10)
Symmetry-distinct sites (fractional):
Dy 0.000 0.000 0.000 x1
Ag 0.500 0.000 0.500 x1
Ag 0.500 0.500 0.000 x1
Sb 0.000 0.500 0.500 x1
Se 0.246 0.500 0.249 x2
Se 0.252 0.000 0.752 x2

=====

# 8
DyYAgSb: optimized geometry, GGA-PBE.

Values from the calculation:
Its density of states at the Fermi level is 1.13 states/eV/atom. As for the volume: 404.47 Å³/cell. As for the magnetization: 2.495 μB per cell. As for the uncorrected energy: -5.06 eV per atom.

Lattice parameters (Å, degrees): 7.395 7.395 7.395 90.00 90.00 90.00
Space group F-43m (No. 216)
Symmetry-distinct sites (fractional):
Dy 0.000 0.000 0.000 x4
Y 0.000 0.000 0.500 x4
Ag 0.250 0.250 0.250 x4
Sb 0.250 0.250 0.750 x4